This record from Alexandria describes a geometry-optimized La2PmNd5 structure. The functional is GGA-PBE.

a b c (Å): 7.3758 14.7526 5.2363
angles (deg): 90.00 90.00 90.00
Space group Pbam (No. 55)
Asymmetric unit:
1 La 0.2492 0.1247 0.0000
2 Pm 0.0000 0.0000 0.5000
3 Nd 0.9995 0.2498 0.5000
4 Nd 0.0000 0.5000 0.5000
5 Nd 0.2498 0.3751 0.0000

Properties
total energy = -4.792 eV per atom
DOS(E_F) = 13.8 states/eV/f.u.
E_form = 14 meV/atom